A.
The following is a DFT calculation (PBE-GGA) of crystalline CdSn2Hg4 at its relaxed geometry.

Unit cell a=11.666 b=11.666 c=11.666 alpha=153.88 beta=153.88 gamma=37.28
Element x y z (fractional)
1 Cd 0.000 0.000 0.000
2 Sn 0.258 0.258 0.000
3 Sn 0.742 0.742 0.000
4 Hg 0.000 0.500 0.500
5 Hg 0.131 0.131 0.000
6 Hg 0.500 0.000 0.500
7 Hg 0.869 0.869 0.000

## Properties
Magnetization: 0.000 μB/atom

B.
The following is a DFT calculation (PBE-GGA) of crystalline CdSn2Hg4 at its relaxed geometry.

Unit cell a=6.322 b=6.322 c=9.783 alpha=90.00 beta=90.00 gamma=100.78
Element x y z (fractional)
1 Cd 0.000 0.000 0.250
2 Cd 0.000 0.000 0.750
3 Sn 0.264 0.734 0.000
4 Sn 0.266 0.736 0.500
5 Sn 0.734 0.264 0.500
6 Sn 0.736 0.266 0.000
7 Hg 0.000 0.500 0.250
8 Hg 0.000 0.500 0.750
9 Hg 0.247 0.248 0.500
10 Hg 0.248 0.247 0.000
11 Hg 0.500 0.000 0.250
12 Hg 0.500 0.000 0.750
13 Hg 0.752 0.753 0.000
14 Hg 0.753 0.752 0.500

## Properties
Magnetization: 0.000 μB/atom

Short version: B is the most stable of them.

A.
The following is a DFT calculation (PBE-GGA) of crystalline Cd7Sn2Hg3 at its relaxed geometry.

Unit cell a=4.513 b=4.472 c=15.380 alpha=90.00 beta=96.50 gamma=90.00
Element x y z (fractional)
1 Cd 0.000 0.000 0.000
2 Cd 0.075 0.500 0.150
3 Cd 0.203 0.500 0.423
4 Cd 0.433 0.000 0.852
5 Cd 0.567 0.000 0.148
6 Cd 0.797 0.500 0.577
7 Cd 0.925 0.500 0.850
8 Sn 0.370 0.500 0.716
9 Sn 0.630 0.500 0.284
10 Hg 0.284 0.000 0.576
11 Hg 0.500 0.500 0.000
12 Hg 0.716 0.000 0.424

## Properties
Magnetization: 0.000 μB/atom

B.
The following is a DFT calculation (PBE-GGA) of crystalline Cd7Sn2Hg3 at its relaxed geometry.

Unit cell a=5.833 b=3.227 c=15.731 alpha=90.00 beta=96.60 gamma=90.00
Element x y z (fractional)
1 Cd 0.000 0.000 0.000
2 Cd 0.099 0.500 0.843
3 Cd 0.255 0.500 0.522
4 Cd 0.397 0.000 0.162
5 Cd 0.603 0.000 0.838
6 Cd 0.745 0.500 0.478
7 Cd 0.901 0.500 0.157
8 Sn 0.276 0.500 0.329
9 Sn 0.724 0.500 0.671
10 Hg 0.215 0.000 0.683
11 Hg 0.500 0.500 0.000
12 Hg 0.785 0.000 0.317

## Properties
Magnetization: 0.000 μB/atom

Short version: B is the most stable of them.

A.
The following is a DFT calculation (PBE-GGA) of crystalline Cd8Sn2Hg at its relaxed geometry.

Unit cell a=8.755 b=8.755 c=5.232 alpha=92.08 beta=92.08 gamma=130.79
Element x y z (fractional)
1 Cd 0.102 0.102 0.774
2 Cd 0.170 0.830 0.000
3 Cd 0.199 0.392 0.384
4 Cd 0.392 0.199 0.384
5 Cd 0.608 0.801 0.616
6 Cd 0.801 0.608 0.616
7 Cd 0.830 0.170 0.000
8 Cd 0.898 0.898 0.226
9 Sn 0.244 0.756 0.500
10 Sn 0.756 0.244 0.500
11 Hg 0.500 0.500 0.000

## Properties
Magnetization: 0.000 μB/atom

B.
The following is a DFT calculation (PBE-GGA) of crystalline Cd8Sn2Hg at its relaxed geometry.

Unit cell a=8.710 b=8.710 c=4.892 alpha=95.35 beta=95.35 gamma=128.22
Element x y z (fractional)
1 Cd 0.106 0.307 0.620
2 Cd 0.195 0.805 0.000
3 Cd 0.307 0.106 0.620
4 Cd 0.394 0.394 0.207
5 Cd 0.606 0.606 0.793
6 Cd 0.693 0.894 0.380
7 Cd 0.805 0.195 0.000
8 Cd 0.894 0.693 0.380
9 Sn 0.295 0.705 0.500
10 Sn 0.705 0.295 0.500
11 Hg 0.000 0.000 0.000

## Properties
Magnetization: 0.000 μB/atom

Short version: B is the most stable of them.

A.
The following is a DFT calculation (PBE-GGA) of crystalline Cd3SnHg6 at its relaxed geometry.

Unit cell a=3.709 b=3.709 c=21.819 alpha=90.00 beta=90.00 gamma=120.00
Element x y z (fractional)
1 Cd 0.000 0.000 0.000
2 Cd 0.000 0.000 0.300
3 Cd 0.000 0.000 0.700
4 Sn 0.000 0.000 0.500
5 Hg 0.333 0.667 0.100
6 Hg 0.333 0.667 0.396
7 Hg 0.333 0.667 0.798
8 Hg 0.667 0.333 0.202
9 Hg 0.667 0.333 0.604
10 Hg 0.667 0.333 0.900

## Properties
Magnetization: 0.000 μB/atom

B.
The following is a DFT calculation (PBE-GGA) of crystalline Cd3SnHg6 at its relaxed geometry.

Unit cell a=7.733 b=7.733 c=8.741 alpha=90.00 beta=90.00 gamma=97.12
Element x y z (fractional)
1 Cd 0.009 0.991 0.500
2 Cd 0.187 0.485 0.996
3 Cd 0.485 0.187 0.496
4 Cd 0.515 0.813 0.996
5 Cd 0.813 0.515 0.496
6 Cd 0.991 0.009 0.000
7 Sn 0.265 0.735 0.562
8 Sn 0.735 0.265 0.062
9 Hg 0.040 0.318 0.304
10 Hg 0.177 0.354 0.646
11 Hg 0.201 0.799 0.228
12 Hg 0.318 0.040 0.804
13 Hg 0.354 0.177 0.146
14 Hg 0.468 0.532 0.327
15 Hg 0.532 0.468 0.827
16 Hg 0.646 0.823 0.646
17 Hg 0.682 0.960 0.304
18 Hg 0.799 0.201 0.728
19 Hg 0.823 0.646 0.146
20 Hg 0.960 0.682 0.804

## Properties
Magnetization: 0.000 μB/atom

Short version: A is the most stable of them.

A.
The following is a DFT calculation (PBE-GGA) of crystalline Cd8Sn2Hg3 at its relaxed geometry.

Unit cell a=8.113 b=8.113 c=5.480 alpha=90.62 beta=90.62 gamma=66.82
Element x y z (fractional)
1 Cd 0.057 0.057 0.254
2 Cd 0.109 0.551 0.820
3 Cd 0.317 0.317 0.322
4 Cd 0.449 0.891 0.180
5 Cd 0.551 0.109 0.820
6 Cd 0.683 0.683 0.678
7 Cd 0.891 0.449 0.180
8 Cd 0.943 0.943 0.746
9 Sn 0.167 0.167 0.769
10 Sn 0.833 0.833 0.231
11 Hg 0.302 0.698 0.500
12 Hg 0.500 0.500 0.000
13 Hg 0.698 0.302 0.500

## Properties
Magnetization: 0.000 μB/atom

B.
The following is a DFT calculation (PBE-GGA) of crystalline Cd8Sn2Hg3 at its relaxed geometry.

Unit cell a=8.542 b=8.542 c=5.107 alpha=90.00 beta=90.00 gamma=111.61
Element x y z (fractional)
1 Cd 0.122 0.878 0.000
2 Cd 0.157 0.394 0.500
3 Cd 0.353 0.647 0.000
4 Cd 0.394 0.157 0.500
5 Cd 0.606 0.843 0.500
6 Cd 0.647 0.353 0.000
7 Cd 0.843 0.606 0.500
8 Cd 0.878 0.122 0.000
9 Sn 0.235 0.765 0.500
10 Sn 0.765 0.235 0.500
11 Hg 0.000 0.000 0.500
12 Hg 0.278 0.278 0.000
13 Hg 0.722 0.722 0.000

## Properties
Magnetization: 0.000 μB/atom

Short version: A is the most stable of them.

A.
The following is a DFT calculation (PBE-GGA) of crystalline Cd3SnHg4 at its relaxed geometry.

Unit cell a=10.235 b=6.219 c=6.265 alpha=90.00 beta=90.00 gamma=90.00
Element x y z (fractional)
1 Cd 0.000 0.046 0.000
2 Cd 0.241 0.270 0.741
3 Cd 0.259 0.730 0.241
4 Cd 0.500 0.954 0.500
5 Cd 0.741 0.730 0.241
6 Cd 0.759 0.270 0.741
7 Sn 0.000 0.562 0.482
8 Sn 0.500 0.438 0.982
9 Hg 0.000 0.053 0.503
10 Hg 0.000 0.551 0.987
11 Hg 0.248 0.229 0.240
12 Hg 0.252 0.771 0.740
13 Hg 0.500 0.449 0.487
14 Hg 0.500 0.947 0.003
15 Hg 0.748 0.771 0.740
16 Hg 0.752 0.229 0.240

## Properties
Magnetization: 0.000 μB/atom

B.
The following is a DFT calculation (PBE-GGA) of crystalline Cd3SnHg4 at its relaxed geometry.

Unit cell a=3.956 b=4.647 c=11.265 alpha=90.00 beta=90.00 gamma=90.00
Element x y z (fractional)
1 Cd 0.000 0.000 0.000
2 Cd 0.000 0.500 0.195
3 Cd 0.500 0.000 0.498
4 Sn 0.500 0.500 0.703
5 Hg 0.000 0.000 0.733
6 Hg 0.000 0.500 0.459
7 Hg 0.500 0.000 0.234
8 Hg 0.500 0.500 0.970

## Properties
Magnetization: 0.000 μB/atom

Short version: A is the most stable of them.

A.
The following is a DFT calculation (PBE-GGA) of crystalline Cd6SnHg at its relaxed geometry.

Unit cell a=4.638 b=4.638 c=8.800 alpha=90.00 beta=90.00 gamma=90.00
Element x y z (fractional)
1 Cd 0.000 0.000 0.000
2 Cd 0.000 0.000 0.500
3 Cd 0.000 0.500 0.245
4 Cd 0.000 0.500 0.755
5 Cd 0.500 0.000 0.245
6 Cd 0.500 0.000 0.755
7 Sn 0.500 0.500 0.500
8 Hg 0.500 0.500 0.000

## Properties
Magnetization: 0.000 μB/atom

B.
The following is a DFT calculation (PBE-GGA) of crystalline Cd6SnHg at its relaxed geometry.

Unit cell a=5.665 b=5.665 c=9.174 alpha=116.24 beta=116.24 gamma=47.06
Element x y z (fractional)
1 Cd 0.001 0.001 0.247
2 Cd 0.248 0.248 0.120
3 Cd 0.252 0.252 0.626
4 Cd 0.748 0.748 0.374
5 Cd 0.752 0.752 0.880
6 Cd 0.999 0.999 0.753
7 Sn 0.500 0.500 0.500
8 Hg 0.500 0.500 0.000

## Properties
Magnetization: 0.000 μB/atom

Short version: B is the most stable of them.

A.
The following is a DFT calculation (PBE-GGA) of crystalline Cd4SnHg3 at its relaxed geometry.

Unit cell a=6.768 b=6.768 c=6.768 alpha=131.33 beta=104.88 gamma=94.76
Element x y z (fractional)
1 Cd 0.184 0.000 0.184
2 Cd 0.597 0.346 0.749
3 Cd 0.597 0.848 0.251
4 Cd 0.816 0.000 0.816
5 Sn 0.288 0.288 0.000
6 Hg 0.017 0.705 0.311
7 Hg 0.394 0.705 0.689
8 Hg 0.900 0.400 0.500

## Properties
Magnetization: 0.000 μB/atom

B.
The following is a DFT calculation (PBE-GGA) of crystalline Cd4SnHg3 at its relaxed geometry.

Unit cell a=6.946 b=6.946 c=6.946 alpha=127.63 beta=76.62 gamma=128.37
Element x y z (fractional)
1 Cd 0.230 0.000 0.230
2 Cd 0.770 0.000 0.770
3 Cd 0.799 0.044 0.245
4 Cd 0.799 0.554 0.755
5 Sn 0.350 0.850 0.500
6 Hg 0.224 0.498 0.727
7 Hg 0.315 0.315 0.000
8 Hg 0.771 0.498 0.273

## Properties
Magnetization: 0.000 μB/atom

Short version: B is the most stable of them.

A.
The following is a DFT calculation (PBE-GGA) of crystalline SrCdSnHg at its relaxed geometry.

Unit cell a=4.997 b=4.997 c=6.246 alpha=113.65 beta=113.65 gamma=60.12
Element x y z (fractional)
1 Sr 0.000 0.000 0.000
2 Cd 0.781 0.781 0.344
3 Sn 0.477 0.477 0.433
4 Hg 0.238 0.238 0.714

## Properties
Magnetization: 0.000 μB/atom

B.
The following is a DFT calculation (PBE-GGA) of crystalline SrCdSnHg at its relaxed geometry.

Unit cell a=5.410 b=5.410 c=5.410 alpha=60.00 beta=60.00 gamma=60.00
Element x y z (fractional)
1 Sr 0.000 0.000 0.000
2 Cd 0.500 0.500 0.500
3 Sn 0.250 0.250 0.250
4 Hg 0.750 0.750 0.750

## Properties
Magnetization: 0.000 μB/atom

Short version: B is the most stable of them.

A.
The following is a DFT calculation (PBE-GGA) of crystalline TbCdSnHg at its relaxed geometry.

Unit cell a=4.394 b=4.568 c=4.868 alpha=90.00 beta=90.00 gamma=90.00
Element x y z (fractional)
1 Tb 0.000 0.000 0.000
2 Cd 0.000 0.500 0.500
3 Sn 0.500 0.500 0.000
4 Hg 0.500 0.000 0.500

## Properties
Magnetization: 0.000 μB/atom

B.
The following is a DFT calculation (PBE-GGA) of crystalline TbCdSnHg at its relaxed geometry.

Unit cell a=5.219 b=5.219 c=5.219 alpha=60.00 beta=60.00 gamma=60.00
Element x y z (fractional)
1 Tb 0.000 0.000 0.000
2 Cd 0.500 0.500 0.500
3 Sn 0.250 0.250 0.250
4 Hg 0.750 0.750 0.750

## Properties
Magnetization: 0.000 μB/atom

Short version: A is the most stable of them.

A.
The following is a DFT calculation (PBE-GGA) of crystalline ThCdSnHg at its relaxed geometry.

Unit cell a=4.521 b=4.673 c=4.963 alpha=90.00 beta=90.00 gamma=90.00
Element x y z (fractional)
1 Th 0.000 0.000 0.000
2 Cd 0.000 0.500 0.500
3 Sn 0.500 0.500 0.000
4 Hg 0.500 0.000 0.500

## Properties
Magnetization: 0.000 μB/atom

B.
The following is a DFT calculation (PBE-GGA) of crystalline ThCdSnHg at its relaxed geometry.

Unit cell a=5.287 b=5.287 c=5.287 alpha=60.00 beta=60.00 gamma=60.00
Element x y z (fractional)
1 Th 0.000 0.000 0.000
2 Cd 0.500 0.500 0.500
3 Sn 0.750 0.750 0.750
4 Hg 0.250 0.250 0.250

## Properties
Magnetization: 0.000 μB/atom

Short version: A is the most stable of them.

A.
The following is a DFT calculation (PBE-GGA) of crystalline YCdSnHg at its relaxed geometry.

Unit cell a=4.389 b=4.562 c=4.870 alpha=90.00 beta=90.00 gamma=90.00
Element x y z (fractional)
1 Y 0.000 0.000 0.000
2 Cd 0.000 0.500 0.500
3 Sn 0.500 0.500 0.000
4 Hg 0.500 0.000 0.500

## Properties
Magnetization: 0.000 μB/atom

B.
The following is a DFT calculation (PBE-GGA) of crystalline YCdSnHg at its relaxed geometry.

Unit cell a=5.218 b=5.218 c=5.218 alpha=60.00 beta=60.00 gamma=60.00
Element x y z (fractional)
1 Y 0.000 0.000 0.000
2 Cd 0.500 0.500 0.500
3 Sn 0.750 0.750 0.750
4 Hg 0.250 0.250 0.250

## Properties
Magnetization: 0.000 μB/atom

Short version: A is the most stable of them.